## TcSn2Rh (PBE)

Data for a relaxed TcSn2Rh crystal.

Its total energy is -6.0357 eV/atom. The value obtained for the energy of formation is 395 meV per atom. The density of states at the Fermi level is 0.912 states/eV/atom. For the energy above the most stable polymorph in this dataset, the calculation gives 551 meV/atom. The calculation puts the total magnetic moment at 1.29 μB per formula unit.

The space group is I-42d (No. 122) and the conventional cell measures 7.201, 7.201 and 6.161 Å, with angles of 90.00, 90.00 and 90.00 degrees. The asymmetric unit holds Tc at (0.000, 0.000, 0.000), Sn at (0.238, 0.250, 0.625) and Rh at (0.000, 0.000, 0.500).